# 1
## Ba8H2Pb3 (PBE)

Data for Ba8H2Pb3 after structural relaxation.

```
Ba8H2Pb3
1.0
3.962 2.287 10.012
-3.962 2.287 10.012
0.000 -4.575 10.012
Ba H Pb
8 2 3
Direct
0.184 0.184 0.184 Ba
0.234 0.234 0.717 Ba
0.234 0.717 0.234 Ba
0.283 0.766 0.766 Ba
0.717 0.234 0.234 Ba
0.766 0.283 0.766 Ba
0.766 0.766 0.283 Ba
0.816 0.816 0.816 Ba
0.097 0.097 0.097 H
0.903 0.903 0.903 H
0.297 0.297 0.297 Pb
0.500 0.500 0.500 Pb
0.703 0.703 0.703 Pb
```

Calculated values
**Total DFT energy (no corrections)**: -2.941 eV per atom

=====

# 2
## Ba6HPb2 (PBE)

Data for Ba6HPb2 after structural relaxation.

```
Ba6HPb2
1.0
8.009 0.000 0.000
0.000 8.509 0.000
-7.952 0.000 11.521
Ba H Pb
12 2 4
Direct
0.147 0.198 0.454 Ba
0.147 0.302 0.954 Ba
0.259 0.694 0.455 Ba
0.259 0.806 0.955 Ba
0.338 0.019 0.248 Ba
0.338 0.481 0.748 Ba
0.662 0.519 0.252 Ba
0.662 0.981 0.752 Ba
0.741 0.194 0.045 Ba
0.741 0.306 0.545 Ba
0.853 0.698 0.046 Ba
0.853 0.802 0.546 Ba
0.000 0.000 0.000 H
0.000 0.500 0.500 H
0.224 0.071 0.749 Pb
0.224 0.429 0.249 Pb
0.776 0.571 0.751 Pb
0.776 0.929 0.251 Pb
```

Calculated values
**Total DFT energy (no corrections)**: -2.859 eV per atom

=====

# 3
## Ba4HPb (PBE)

Data for Ba4HPb after structural relaxation.

```
Ba4HPb
1.0
5.028 -8.892 0.000
5.028 8.892 0.000
-4.636 0.000 6.048
Ba H Pb
8 2 2
Direct
0.070 0.631 0.860 Ba
0.199 0.285 0.688 Ba
0.285 0.199 0.188 Ba
0.369 0.930 0.640 Ba
0.631 0.070 0.360 Ba
0.715 0.801 0.812 Ba
0.801 0.715 0.312 Ba
0.930 0.369 0.140 Ba
0.003 0.997 0.750 H
0.997 0.003 0.250 H
0.383 0.617 0.250 Pb
0.617 0.383 0.750 Pb
```

Calculated values
**Total DFT energy (no corrections)**: -2.725 eV per atom

=====

# 4
## BaHPd2Pb2 (PBE)

Data for BaHPd2Pb2 after structural relaxation.

```
BaHPd2Pb2
1.0
-2.367 2.367 6.514
2.367 -2.367 6.514
2.367 2.367 -6.514
Ba H Pd Pb
1 1 2 2
Direct
0.000 0.000 0.000 Ba
0.500 0.500 0.000 H
0.369 0.369 0.000 Pd
0.631 0.631 0.000 Pd
0.250 0.750 0.500 Pb
0.750 0.250 0.500 Pb
```

Calculated values
**Total DFT energy (no corrections)**: -4.252 eV per atom

=====

# 5
## Ba2H6PdPb (PBE)

Data for Ba2H6PdPb after structural relaxation.

```
Ba2H6PdPb
1.0
2.765 1.596 12.711
-2.765 1.596 12.711
0.000 -3.193 12.711
Ba H Pd Pb
4 12 2 2
Direct
0.126 0.126 0.126 Ba
0.299 0.299 0.299 Ba
0.701 0.701 0.701 Ba
0.874 0.874 0.874 Ba
0.179 0.179 0.720 H
0.179 0.720 0.179 H
0.183 0.620 0.620 H
0.280 0.821 0.821 H
0.380 0.380 0.817 H
0.380 0.817 0.380 H
0.620 0.183 0.620 H
0.620 0.620 0.183 H
0.720 0.179 0.179 H
0.817 0.380 0.380 H
0.821 0.280 0.821 H
0.821 0.821 0.280 H
0.000 0.000 0.000 Pd
0.500 0.500 0.500 Pd
0.411 0.411 0.411 Pb
0.589 0.589 0.589 Pb
```

Calculated values
**Total DFT energy (no corrections)**: -3.570 eV per atom

=====

# 6
## Ba2HPd6Pb (PBE)

Data for Ba2HPd6Pb after structural relaxation.

```
Ba2HPd6Pb
1.0
5.292 -3.051 0.000
5.292 3.051 0.000
-3.491 0.000 6.397
Ba H Pd Pb
2 1 6 1
Direct
0.229 0.229 0.186 Ba
0.771 0.771 0.814 Ba
0.000 0.000 0.500 H
0.220 0.725 0.668 Pd
0.222 0.222 0.669 Pd
0.275 0.780 0.332 Pd
0.725 0.220 0.668 Pd
0.778 0.778 0.331 Pd
0.780 0.275 0.332 Pd
0.500 0.500 0.000 Pb
```

Calculated values
**Total DFT energy (no corrections)**: -4.616 eV per atom

=====

What is the total DFT energy (no corrections) in the first record? -2.941 eV per atom